1.
This record from Alexandria describes a relaxed Sc3AlCu8 crystal. The functional is PBE.

Cell lengths 4.9890, 4.9890, 8.6675 Å; angles 73.27, 73.27, 60.00 degrees
Positions (direct):
Cu1 0.9377 0.4393 0.6853
Cu2 0.9393 0.4362 0.1882
Cu3 0.4393 0.9377 0.6853
Cu4 0.1880 0.1880 0.4361
Cu5 0.9377 0.9377 0.6853
Cu6 0.4362 0.4362 0.1882
Cu7 0.4362 0.9393 0.1882
Cu8 0.6875 0.6875 0.9376
Al1 0.8713 0.8713 0.3862
Sc1 0.9953 0.9953 0.0140
Sc2 0.3784 0.3784 0.8649
Sc3 0.5032 0.5032 0.4905

Values from the calculation:
- calculated formation energy (eV per formula unit) = -2.842
- E (eV per atom) = -4.8624

2.
This record from Alexandria describes a relaxed TbTh2Hg4 crystal. The functional is PBE.

Cell lengths 5.1851, 5.1851, 8.3299 Å; angles 108.13, 108.13, 90.00 degrees
Positions (direct):
Hg1 0.1094 0.6094 0.2187
Hg2 0.6094 0.1094 0.2187
Hg3 0.3906 0.8906 0.7813
Hg4 0.8906 0.3906 0.7813
Th1 0.7414 0.7414 0.4829
Th2 0.2586 0.2586 0.5171
Tb1 0.0000 0.0000 0.0000

Values from the calculation:
- calculated formation energy (eV per formula unit) = -1.352
- E (eV per atom) = -3.1469

3.
This record from Alexandria describes a relaxed Tl2TePt crystal. The functional is PBE.

Cell lengths 5.2161, 5.2161, 5.2161 Å; angles 60.00, 60.00, 60.00 degrees
Positions (direct):
Tl1 0.7500 0.7500 0.7500
Tl2 0.0000 0.0000 0.0000
Te1 0.2500 0.2500 0.2500
Pt1 0.5000 0.5000 0.5000

Values from the calculation:
- ΔE_f (raw) (eV/atom) = 0.12
- distance to the lowest polymorph of the same formula (meV per atom) = 316
- E (eV per atom) = -3.3540

4.
This record from Alexandria describes a relaxed Dy2ErSe3 crystal. The functional is PBE.

Cell lengths 4.0845, 5.7259, 7.0211 Å; angles 114.06, 106.91, 90.00 degrees
Positions (direct):
Se1 0.5000 0.0000 0.5000
Se2 0.1640 0.6640 0.8280
Se3 0.8360 0.3360 0.1720
Dy1 0.1690 0.1690 0.8379
Dy2 0.8310 0.8310 0.1621
Er1 0.5000 0.5000 0.5000

Values from the calculation:
- ΔE_f (raw) (eV/atom) = -1.73
- E (eV per atom) = -5.7649

5.
This record from Alexandria describes a relaxed CsPtF2 crystal. The functional is PBE.

Cell lengths 4.7569, 4.7569, 4.7569 Å; angles 60.00, 60.00, 60.00 degrees
Each line ends with the local moment (μB).
Positions (direct):
F1 0.7500 0.7500 0.7500  0.08
F2 0.2500 0.2500 0.2500  0.08
Cs1 0.0000 0.0000 0.0000  0.00
Pt1 0.5000 0.5000 0.5000  0.82

Values from the calculation:
- ΔE_f (raw) (eV/atom) = -0.67
- distance to the lowest polymorph of the same formula (meV per atom) = 623
- E (eV per atom) = -3.3279

6.
This record from Alexandria describes a relaxed In6CuS8 crystal. The functional is PBE.

Cell lengths 7.6890, 7.6890, 7.6890 Å; angles 100.36, 100.36, 100.36 degrees
Positions (direct):
S1 0.8353 0.3402 0.6062
S2 0.1996 0.1996 0.1996
S3 0.3938 0.1647 0.6598
S4 0.1647 0.6598 0.3938
S5 0.6598 0.3938 0.1647
S6 0.8004 0.8004 0.8004
S7 0.6062 0.8353 0.3402
S8 0.3402 0.6062 0.8353
In1 0.3529 0.5314 0.1511
In2 0.1511 0.3529 0.5314
In3 0.4686 0.8489 0.6471
In4 0.5314 0.1511 0.3529
In5 0.8489 0.6471 0.4686
In6 0.6471 0.4686 0.8489
Cu1 0.0000 0.0000 0.0000

Values from the calculation:
- ΔE_f (raw) (eV/atom) = -0.28
- E (eV per atom) = -3.8505